NaSr2GaH: relaxed, PBE.

Energy: -12.32 eV/cell
Total magnetic moment: 0.000 μB/cell

Structure (CIF):
```
data_NaSr2GaH
_symmetry_space_group_name_H-M 'P 4/m m m'
_symmetry_Int_Tables_number 123
_symmetry_space_group_name_Hall '-P 4 2'
_cell_length_a 5.429
_cell_length_b 5.429
_cell_length_c 4.401
_cell_angle_alpha 90.00
_cell_angle_beta 90.00
_cell_angle_gamma 90.00
loop_
_atom_site_label
_atom_site_fract_x
_atom_site_fract_y
_atom_site_fract_z
Na1 0.000 0.000 0.000
Sr1 0.000 0.500 0.500
Ga1 0.500 0.500 0.000
H1 0.000 0.000 0.500
```